[1]
An optimized crystal structure of TmNiSn2. Source: Alexandria, functional PBE-GGA.

abc: 16.075 4.437 14.509
angles: 90.00 90.00 90.00
Sites, in units of the cell vectors:
1 Tm 0.129 0.250 0.223
2 Tm 0.148 0.750 0.600
3 Tm 0.150 0.250 0.969
4 Tm 0.350 0.750 0.469
5 Tm 0.352 0.250 0.100
6 Tm 0.371 0.750 0.723
7 Tm 0.629 0.250 0.277
8 Tm 0.648 0.750 0.900
9 Tm 0.650 0.250 0.531
10 Tm 0.850 0.750 0.031
11 Tm 0.852 0.250 0.400
12 Tm 0.871 0.750 0.777
13 Ni 0.053 0.750 0.106
14 Ni 0.192 0.250 0.741
15 Ni 0.200 0.250 0.450
16 Ni 0.300 0.750 0.950
17 Ni 0.308 0.750 0.241
18 Ni 0.447 0.250 0.606
19 Ni 0.553 0.750 0.394
20 Ni 0.692 0.250 0.759
21 Ni 0.700 0.250 0.050
22 Ni 0.800 0.750 0.550
23 Ni 0.808 0.750 0.259
24 Ni 0.947 0.250 0.894
25 Sn 0.020 0.750 0.921
26 Sn 0.030 0.250 0.736
27 Sn 0.042 0.250 0.446
28 Sn 0.175 0.750 0.366
29 Sn 0.183 0.750 0.820
30 Sn 0.214 0.750 0.101
31 Sn 0.286 0.250 0.601
32 Sn 0.317 0.250 0.320
33 Sn 0.325 0.250 0.866
34 Sn 0.458 0.750 0.946
35 Sn 0.470 0.750 0.236
36 Sn 0.480 0.250 0.421
37 Sn 0.520 0.750 0.579
38 Sn 0.530 0.250 0.764
39 Sn 0.542 0.250 0.054
40 Sn 0.675 0.750 0.134
41 Sn 0.683 0.750 0.680
42 Sn 0.714 0.750 0.399
43 Sn 0.786 0.250 0.899
44 Sn 0.817 0.250 0.180
45 Sn 0.825 0.250 0.634
46 Sn 0.958 0.750 0.554
47 Sn 0.970 0.750 0.264
48 Sn 0.980 0.250 0.079

[2]
An optimized crystal structure of TmNi6Sn6. Source: Alexandria, functional PBE-GGA.

abc: 6.933 6.933 6.933
angles: 133.77 102.93 94.84
Sites, in units of the cell vectors:
1 Tm 0.000 0.000 0.000
2 Ni 0.000 0.000 0.500
3 Ni 0.000 0.500 0.000
4 Ni 0.251 0.500 0.751
5 Ni 0.500 0.000 0.000
6 Ni 0.500 0.500 0.500
7 Ni 0.749 0.500 0.249
8 Sn 0.167 0.667 0.500
9 Sn 0.335 0.335 0.000
10 Sn 0.336 0.000 0.336
11 Sn 0.664 0.000 0.664
12 Sn 0.665 0.665 0.000
13 Sn 0.833 0.333 0.500

[3]
An optimized crystal structure of Tm2Ni4Sn3. Source: Alexandria, functional PBE-GGA.

abc: 8.517 8.517 6.928
angles: 90.00 90.00 139.69
Sites, in units of the cell vectors:
1 Tm 0.101 0.899 0.911
2 Tm 0.399 0.601 0.411
3 Tm 0.601 0.399 0.589
4 Tm 0.899 0.101 0.089
5 Ni 0.162 0.838 0.513
6 Ni 0.176 0.324 0.750
7 Ni 0.324 0.176 0.250
8 Ni 0.338 0.662 0.013
9 Ni 0.662 0.338 0.987
10 Ni 0.676 0.824 0.750
11 Ni 0.824 0.676 0.250
12 Ni 0.838 0.162 0.487
13 Sn 0.000 0.000 0.500
14 Sn 0.011 0.489 0.750
15 Sn 0.489 0.011 0.250
16 Sn 0.500 0.500 0.000
17 Sn 0.511 0.989 0.750
18 Sn 0.989 0.511 0.250

[4]
An optimized crystal structure of TmNi9Sn2. Source: Alexandria, functional PBE-GGA.

Computed properties:
Excess energy over the best structure of this formula in the dataset: 17.9 meV/atom

abc: 8.383 8.383 8.383
angles: 34.06 34.06 34.06
Sites, in units of the cell vectors:
1 Tm 0.000 0.000 0.000
2 Ni 0.080 0.586 0.586
3 Ni 0.334 0.334 0.334
4 Ni 0.414 0.414 0.920
5 Ni 0.414 0.920 0.414
6 Ni 0.500 0.500 0.500
7 Ni 0.586 0.080 0.586
8 Ni 0.586 0.586 0.080
9 Ni 0.666 0.666 0.666
10 Ni 0.920 0.414 0.414
11 Sn 0.137 0.137 0.137
12 Sn 0.863 0.863 0.863

Number 1: formation energy -0.539 eV/atom, magnetic moment 0.00 Bohr magnetons per cell. Number 2: formation energy -0.303 eV/atom, magnetic moment 0.00 Bohr magnetons per cell. Number 3: formation energy -0.455 eV/atom, magnetic moment 0.00 Bohr magnetons per cell. Number 4: formation energy -0.225 eV/atom, magnetic moment 1.01 Bohr magnetons per cell.